Material: ReRuNO2
Method: DFT, PBE
State: optimized geometry

## Properties
The value obtained for the uncorrected formation energy is 892 meV per atom. Its symmetry is P4/mmm, No. 123. Its density of states at the Fermi level is 3.42 states/eV/cell. Its total energy is -35.50 eV for the cell shown.

Unit cell a=3.7841 b=3.7841 c=4.1408 alpha=90.00 beta=90.00 gamma=90.00
Sites, in units of the cell vectors:
Re  0.0000  0.0000  0.0000
Ru  0.5000  0.5000  0.5000
N  0.5000  0.5000  0.0000
O  0.0000  0.5000  0.5000
O  0.5000  0.0000  0.5000